(w)
Below is a relaxed structure of Mo2HOs, with properties calculated at the PBE-GGA level.

Geometry as CIF:
```
data_Mo2HOs
_symmetry_space_group_name_H-M 'P 1'
_symmetry_Int_Tables_number 1
_symmetry_space_group_name_Hall 'P 1'
_cell_length_a 4.247
_cell_length_b 4.247
_cell_length_c 4.247
_cell_angle_alpha 60.00
_cell_angle_beta 60.00
_cell_angle_gamma 60.00
loop_
_atom_site_label
_atom_site_type_symbol
_atom_site_fract_x
_atom_site_fract_y
_atom_site_fract_z
_atom_site_occupancy
Mo1 Mo 0.250 0.250 0.250 1
Mo2 Mo 0.750 0.750 0.750 1
H1 H 0.000 0.000 0.000 1
Os1 Os 0.500 0.500 0.500 1
```

Summary:
- N(E_F) (states/eV/f.u.) = 1.9

(x)
Below is a relaxed structure of Mo2HOs, with properties calculated at the PBE-GGA level.

Geometry as CIF:
```
data_Mo2HOs
_symmetry_space_group_name_H-M 'P 1'
_symmetry_Int_Tables_number 1
_symmetry_space_group_name_Hall 'P 1'
_cell_length_a 4.705
_cell_length_b 4.705
_cell_length_c 6.212
_cell_angle_alpha 67.75
_cell_angle_beta 67.75
_cell_angle_gamma 90.00
loop_
_atom_site_label
_atom_site_type_symbol
_atom_site_fract_x
_atom_site_fract_y
_atom_site_fract_z
_atom_site_occupancy
Mo1 Mo 0.875 0.750 0.750 1
Mo2 Mo 0.375 0.500 0.750 1
Mo3 Mo 0.250 0.625 0.250 1
Mo4 Mo 0.500 0.125 0.250 1
Os1 Os 0.750 0.250 0.500 1
Os2 Os 0.000 0.000 0.000 1
H1 H 0.500 0.500 0.000 1
H2 H 0.250 0.750 0.500 1
```

Summary:
- N(E_F) (states/eV/f.u.) = 1.0

(y)
Below is a relaxed structure of Mo2HOs, with properties calculated at the PBE-GGA level.

Geometry as CIF:
```
data_Mo2HOs
_symmetry_space_group_name_H-M 'P 1'
_symmetry_Int_Tables_number 1
_symmetry_space_group_name_Hall 'P 1'
_cell_length_a 2.796
_cell_length_b 2.796
_cell_length_c 7.633
_cell_angle_alpha 79.45
_cell_angle_beta 79.45
_cell_angle_gamma 60.00
loop_
_atom_site_label
_atom_site_type_symbol
_atom_site_fract_x
_atom_site_fract_y
_atom_site_fract_z
_atom_site_occupancy
Mo1 Mo 0.110 0.110 0.671 1
Mo2 Mo 0.890 0.890 0.329 1
Os1 Os 0.000 0.000 0.000 1
H1 H 0.500 0.500 0.500 1
```

Summary:
- N(E_F) (states/eV/f.u.) = 3.1

In eV/atom, relative to the most stable structure: (w) 0.157; (x) 0.221; (y) 0.000.